Entry 1:
SmZnGe: optimized geometry, PBEsol.

abc: 4.156 4.156 8.176
angles: 90.00 90.00 120.00
Element x y z (fractional)
1 Sm 0.000 0.000 0.000
2 Sm 0.000 0.000 0.500
3 Zn 0.333 0.667 0.250
4 Zn 0.667 0.333 0.750
5 Ge 0.333 0.667 0.750
6 Ge 0.667 0.333 0.250

Values from the calculation:
**Energy relative to the elements**: -2.1 eV per formula unit
**Calculated volume**: 122 Å³/cell
**VASP energy**: -4.5848 eV/atom

Entry 2:
HfSc2FeP: optimized geometry, PBEsol.

abc: 4.620 4.620 4.616
angles: 90.00 90.00 90.00
Element x y z (fractional)
1 Hf 0.000 0.000 0.000
2 Sc 0.000 0.500 0.500
3 Sc 0.500 0.000 0.500
4 Fe 0.000 0.000 0.500
5 P 0.500 0.500 0.000

Values from the calculation:
**Energy relative to the elements**: 0.2 eV per formula unit
**Calculated volume**: 99 Å³/cell
**VASP energy**: -7.6590 eV/atom

Entry 3:
YSi2Ir: optimized geometry, PBEsol.

abc: 2.955 3.248 6.773
angles: 90.00 90.00 90.00
Element x y z (fractional)
1 Y 0.000 0.000 0.000
2 Si 0.500 0.500 0.299
3 Si 0.500 0.500 0.701
4 Ir 0.000 0.000 0.500

Values from the calculation:
**E_form (uncorrected)**: -0.508 eV/atom
**Calculated volume**: 65 Å³/cell
**VASP energy**: -7.5425 eV/atom